No. 1
GGA-PBE BiSeCl3, relaxed; V = 141 Å³ per cell; formation energy from raw total energies = 0.1825 eV per atom; total moment = 1.86 μB per formula unit; space-group type = Pm-3m
1.0
5.205 0.000 0.000
0.000 5.205 0.000
0.000 0.000 5.205
Bi Se Cl
1 1 3
Cartesian
0.000 0.000 0.000
2.603 2.603 2.603
0.000 2.603 2.603
2.603 0.000 2.603
2.603 2.603 0.000

No. 2
GGA-PBE NaBe2SO6, relaxed; V = 250 Å³ per cell; formation energy from raw total energies = -1.7819 eV per atom; total moment = 1.06 μB per formula unit; space-group type = C2/c
1.0
5.010 -5.071 0.000
5.010 5.071 0.000
-2.831 0.000 4.911
Na Be S O
2 4 2 12
Cartesian
2.886 3.890 3.684
4.302 -3.890 1.228
4.113 0.689 0.072
2.697 -0.689 2.528
4.492 0.689 2.384
3.076 -0.689 4.840
4.302 3.213 1.228
2.886 -3.213 3.684
-0.924 1.020 3.546
1.380 2.331 4.907
0.492 -1.020 1.090
4.393 2.331 2.460
3.207 0.133 1.260
1.792 -0.133 3.716
5.397 0.133 1.196
3.981 -0.133 3.651
2.795 -2.331 2.452
6.697 1.020 3.822
5.809 -2.331 0.004
8.112 -1.020 1.366

Copy entry 2 word for word.
GGA-PBE NaBe2SO6, relaxed; V = 250 Å³ per cell; formation energy from raw total energies = -1.7819 eV per atom; total moment = 1.06 μB per formula unit; space-group type = C2/c
1.0
5.010 -5.071 0.000
5.010 5.071 0.000
-2.831 0.000 4.911
Na Be S O
2 4 2 12
Cartesian
2.886 3.890 3.684
4.302 -3.890 1.228
4.113 0.689 0.072
2.697 -0.689 2.528
4.492 0.689 2.384
3.076 -0.689 4.840
4.302 3.213 1.228
2.886 -3.213 3.684
-0.924 1.020 3.546
1.380 2.331 4.907
0.492 -1.020 1.090
4.393 2.331 2.460
3.207 0.133 1.260
1.792 -0.133 3.716
5.397 0.133 1.196
3.981 -0.133 3.651
2.795 -2.331 2.452
6.697 1.020 3.822
5.809 -2.331 0.004
8.112 -1.020 1.366